[1]
TlCuAgBr3: optimized geometry, PBE.

abc: 4.1509 9.1355 9.5774
angles: 102.82 90.00 90.00
Fractional positions:
Tl1 0.2500 0.1884 0.2170
Tl2 0.7500 0.8116 0.7830
Cu1 0.2500 0.0636 0.5749
Cu2 0.7500 0.9364 0.4251
Ag1 0.2500 0.6523 0.1264
Ag2 0.7500 0.3477 0.8736
Br1 0.7500 0.8804 0.1551
Br2 0.2500 0.1196 0.8449
Br3 0.2500 0.7914 0.4745
Br4 0.7500 0.2086 0.5255
Br5 0.7500 0.4520 0.1747
Br6 0.2500 0.5480 0.8253

Calculated values
Raw formation energy ... -469 meV per atom
DOS(E_F) ... 0.000 states/eV per cell

[2]
Tl3Cu2AgBr9: optimized geometry, PBE.

abc: 7.3921 7.3921 9.1034
angles: 90.00 90.00 120.00
Fractional positions:
Tl1 0.3333 0.6667 0.6720
Tl2 0.0000 0.0000 0.0000
Tl3 0.6667 0.3333 0.3280
Cu1 0.3333 0.6667 0.1617
Cu2 0.6667 0.3333 0.8383
Ag1 0.0000 0.0000 0.5000
Br1 0.8287 0.1713 0.6759
Br2 0.8287 0.6574 0.6759
Br3 0.3426 0.1713 0.6759
Br4 0.6574 0.8287 0.3241
Br5 0.1713 0.3426 0.3241
Br6 0.1713 0.8287 0.3241
Br7 0.5000 0.0000 0.0000
Br8 0.0000 0.5000 0.0000
Br9 0.5000 0.5000 0.0000

Calculated values
Raw formation energy ... -477 meV per atom
DOS(E_F) ... 5.388 states/eV per cell

[3]
Tl2CuAgBr4: optimized geometry, PBE.

abc: 5.3408 7.8351 13.7585
angles: 86.21 78.81 70.07
Fractional positions:
Tl1 0.1652 0.0000 0.6696
Tl2 0.8348 0.0000 0.3304
Tl3 0.5848 0.5000 0.8304
Tl4 0.9152 0.5000 0.1696
Cu1 0.2500 0.5000 0.5000
Cu2 0.5000 0.0000 0.0000
Ag1 0.7500 0.5000 0.5000
Ag2 0.0000 0.0000 0.0000
Br1 0.3266 0.7832 0.1185
Br2 0.2283 0.2168 0.8815
Br3 0.8902 0.7832 0.8815
Br4 0.5549 0.2168 0.1185
Br5 0.4234 0.7168 0.3815
Br6 0.5217 0.2832 0.6185
Br7 0.8598 0.7168 0.6185
Br8 0.1951 0.2832 0.3815

Calculated values
Raw formation energy ... -537 meV per atom

[4]
TlCuAg2Br4: optimized geometry, PBE.

abc: 7.4295 7.5623 9.3009
angles: 90.00 90.00 90.00
Last column: magnetic moment on the atom in μB.
Fractional positions:
Tl1 0.0103 0.1532 0.5000  0.00
Tl2 0.5103 0.8468 0.0000  0.00
Cu1 0.4990 0.8199 0.5000  0.06
Cu2 0.9990 0.1801 0.0000  0.06
Ag1 0.4934 0.3373 0.2509  0.00
Ag2 0.4934 0.3373 0.7491  0.00
Ag3 0.9934 0.6627 0.7509  0.00
Ag4 0.9934 0.6627 0.2491  0.00
Br1 0.3289 0.2348 0.0000  0.00
Br2 0.8289 0.7652 0.5000  0.00
Br3 0.4563 0.1430 0.5000  0.00
Br4 0.9563 0.8570 0.0000  0.00
Br5 0.3593 0.6700 0.7077  0.00
Br6 0.8593 0.3300 0.2077  0.00
Br7 0.8593 0.3300 0.7923  0.00
Br8 0.3593 0.6700 0.2923  0.00

Calculated values
Raw formation energy ... -431 meV per atom

Number 3 is which compound? Tl2CuAgBr4